## Ce2CoS4 (PBE)

Data for a relaxed Ce2CoS4 crystal.

Output
D(E_F) = 0.909 states/eV per atom
energy relative to the elements, uncorrected = -1.534 eV per atom

abc: 6.4425 5.7518 7.7983
angles: 90.00 107.43 90.00
Fractional positions:
Ce: 0.2318 0.2500 0.4300
Ce: 0.2550 0.2500 0.9408
Ce: 0.7450 0.7500 0.0592
Ce: 0.7682 0.7500 0.5700
Co: 0.2596 0.7500 0.1897
Co: 0.7404 0.2500 0.8103
S: 0.0723 0.7500 0.3836
S: 0.0825 0.7500 0.9034
S: 0.4862 0.5076 0.7401
S: 0.4862 0.9924 0.7401
S: 0.5138 0.0076 0.2599
S: 0.5138 0.4924 0.2599
S: 0.9175 0.2500 0.0966
S: 0.9277 0.2500 0.6164

***

## Ce3CoS6 (PBE)

Data for a relaxed Ce3CoS6 crystal.

Output
polymorph energy (0 for the lowest one) = 0.056 eV per atom
D(E_F) = 1.403 states/eV per atom
energy relative to the elements, uncorrected = -1.543 eV per atom

abc: 7.7690 7.7690 7.7690
angles: 98.61 98.61 98.61
Fractional positions:
Ce: 0.1173 0.7871 0.6171
Ce: 0.2129 0.3829 0.8827
Ce: 0.3829 0.8827 0.2129
Ce: 0.6171 0.1173 0.7871
Ce: 0.7871 0.6171 0.1173
Ce: 0.8827 0.2129 0.3829
Co: 0.0000 0.0000 0.0000
Co: 0.5000 0.5000 0.5000
S: 0.0655 0.9301 0.3051
S: 0.0699 0.6949 0.9345
S: 0.1997 0.4394 0.5349
S: 0.3051 0.0655 0.9301
S: 0.4394 0.5349 0.1997
S: 0.4651 0.8003 0.5606
S: 0.5349 0.1997 0.4394
S: 0.5606 0.4651 0.8003
S: 0.6949 0.9345 0.0699
S: 0.8003 0.5606 0.4651
S: 0.9301 0.3051 0.0655
S: 0.9345 0.0699 0.6949

***

## CeCoS (PBE)

Data for a relaxed CeCoS crystal.

Output
polymorph energy (0 for the lowest one) = 0.000 eV per atom
D(E_F) = 1.183 states/eV per atom
energy relative to the elements, uncorrected = -1.155 eV per atom

abc: 3.9299 3.9299 3.7582
angles: 90.00 90.00 120.00
Fractional positions:
Ce: 0.0000 0.0000 0.0000
Co: 0.6667 0.3333 0.5000
S: 0.3333 0.6667 0.5000

***

## CeCoS3 (PBE)

Data for a relaxed CeCoS3 crystal.

Output
D(E_F) = 0.726 states/eV per atom
energy relative to the elements, uncorrected = -1.021 eV per atom

abc: 12.3556 12.3556 12.3556
angles: 160.41 160.27 27.94
Fractional positions:
Ce: 0.3522 0.1022 0.2500
Ce: 0.6478 0.8978 0.7500
Co: 0.1004 0.3504 0.7500
Co: 0.8996 0.6496 0.2500
S: 0.0721 0.8221 0.2500
S: 0.1915 0.4415 0.7500
S: 0.4277 0.6777 0.7500
S: 0.5723 0.3223 0.2500
S: 0.8085 0.5585 0.2500
S: 0.9279 0.1779 0.7500

***

## CeCoS (PBE)

Data for a relaxed CeCoS crystal.

Output
polymorph energy (0 for the lowest one) = 0.092 eV per atom
D(E_F) = 1.388 states/eV per atom
energy relative to the elements, uncorrected = -1.063 eV per atom

abc: 7.8228 7.8228 3.9898
angles: 90.00 90.00 151.32
Fractional positions:
Ce: 0.1273 0.8727 0.7500
Ce: 0.8727 0.1273 0.2500
Co: 0.4668 0.5332 0.7500
Co: 0.5332 0.4668 0.2500
S: 0.3204 0.6796 0.7500
S: 0.6796 0.3204 0.2500

***

## Ce2CoS (PBE)

Data for a relaxed Ce2CoS crystal.

Output
D(E_F) = 1.975 states/eV per atom
energy relative to the elements, uncorrected = -0.886 eV per atom

abc: 7.4659 7.4659 7.4659
angles: 29.64 29.64 29.64
Fractional positions:
Ce: 0.0000 0.0000 0.0000
Ce: 0.1833 0.1833 0.1833
Co: 0.5883 0.5883 0.5883
S: 0.7589 0.7589 0.7589

***

## CeCoS2 (PBE)

Data for a relaxed CeCoS2 crystal.

Output
D(E_F) = 1.367 states/eV per atom
energy relative to the elements, uncorrected = -0.417 eV per atom

abc: 7.9922 7.9922 7.9922
angles: 24.98 24.98 24.98
Fractional positions:
Ce: 0.0000 0.0000 0.0000
Co: 0.5000 0.5000 0.5000
S: 0.1187 0.1187 0.1187
S: 0.8813 0.8813 0.8813

***

## Ce2TiCoS5 (PBE)

Data for a relaxed Ce2TiCoS5 crystal.

Output
D(E_F) = 1.029 states/eV per atom
energy relative to the elements, uncorrected = -1.571 eV per atom

abc: 8.1747 8.1747 11.3831
angles: 90.00 90.00 153.79
Fractional positions:
Ce: 0.1129 0.8871 0.5000
Ce: 0.1273 0.8727 0.8614
Ce: 0.8727 0.1273 0.3614
Ce: 0.8871 0.1129 0.0000
Ti: 0.1751 0.8249 0.1775
Ti: 0.8249 0.1751 0.6775
Co: 0.4354 0.5646 0.5872
Co: 0.5646 0.4354 0.0872
S: 0.0253 0.9747 0.1815
S: 0.3049 0.6951 0.5323
S: 0.3088 0.6912 0.8325
S: 0.3379 0.6621 0.1791
S: 0.4970 0.5030 0.4165
S: 0.5030 0.4970 0.9165
S: 0.6621 0.3379 0.6791
S: 0.6912 0.3088 0.3325
S: 0.6951 0.3049 0.0323
S: 0.9747 0.0253 0.6815